(1)
DFT (PBE) results for an optimized crystal structure of CaNb2CrN4.

Unit cell a=3.155 b=10.825 c=10.934 alpha=90.00 beta=90.00 gamma=90.00
Space group Cmcm (No. 63)
One atom of each set of equivalent atoms:
Ca: 0.000 0.107 0.250 (multiplicity 4)
Nb: 0.000 0.369 0.043 (multiplicity 8)
Cr: 0.000 0.159 0.750 (multiplicity 4)
N: 0.000 0.000 0.000 (multiplicity 4)
N: 0.000 0.268 0.617 (multiplicity 8)
N: 0.000 0.434 0.250 (multiplicity 4)

Results
**Total DFT energy (no corrections)**: -9.0788 eV/atom
**Formation energy without anion corrections**: -0.9456 eV/atom

(2)
DFT (PBE) results for an optimized crystal structure of ErThAu4.

Unit cell a=3.807 b=3.807 c=9.206 alpha=90.00 beta=90.00 gamma=90.00
Space group P4/mmm (No. 123)
One atom of each set of equivalent atoms:
Er: 0.000 0.000 0.000 (multiplicity 1)
Th: 0.500 0.500 0.500 (multiplicity 1)
Au: 0.000 0.000 0.325 (multiplicity 2)
Au: 0.500 0.500 0.159 (multiplicity 2)

Results
**Total DFT energy (no corrections)**: -4.9406 eV/atom
**Formation energy**: -0.759 eV/atom

(3)
DFT (PBE) results for an optimized crystal structure of SiHgN3.

Unit cell a=4.225 b=4.225 c=4.225 alpha=90.00 beta=90.00 gamma=90.00
Space group Pm-3m (No. 221)
One atom of each set of equivalent atoms:
Si: 0.000 0.000 0.000 (multiplicity 1)
Hg: 0.500 0.500 0.500 (multiplicity 1)
N: 0.000 0.500 0.500 (multiplicity 3)

Results
**Total DFT energy (no corrections)**: -3.3839 eV/atom
**Formation energy without anion corrections**: 2.7563 eV/atom

(4)
DFT (PBE) results for an optimized crystal structure of NdCuIr.

Unit cell a=4.2854 b=4.2854 c=3.8826 alpha=90.00 beta=90.00 gamma=120.00
Space group P-6m2 (No. 187)
One atom of each set of equivalent atoms:
Nd: 0.0000 0.0000 0.0000 (multiplicity 1)
Cu: 0.3333 0.6667 0.5000 (multiplicity 1)
Ir: 0.6667 0.3333 0.5000 (multiplicity 1)

Results
**Total DFT energy (no corrections)**: -6.2683 eV/atom
**Formation energy**: -0.360 eV/atom

Number 3 is which compound?
SiHgN3